Entry 1:
First-principles (PBE) data for a relaxed La2CuRu crystal, as listed in Alexandria.

Cell lengths 6.016, 6.016, 8.337 Å; angles 68.85, 68.85, 90.00 degrees
Fractional positions:
Ru 0.000 0.000 0.000
Cu 0.500 0.500 0.000
La 0.875 0.919 0.750
Cu 0.250 0.750 0.500
La 0.081 0.625 0.250
La 0.669 0.125 0.250
Ru 0.750 0.250 0.500
La 0.375 0.331 0.750

## Properties
Calculated density = 5.663 g/cm³
Spin magnetization = 0.000 μB/f.u.
ΔE_f = 384 meV/atom
Crystal system = tetragonal



Entry 2:
First-principles (PBE) data for a relaxed K3TmP2O8 crystal, as listed in Alexandria.

Cell lengths 5.666, 7.868, 9.539 Å; angles 87.92, 90.00, 90.00 degrees
Fractional positions:
O 0.973 0.790 0.332
O 0.250 0.066 0.472
K 0.250 0.498 0.210
O 0.024 0.848 0.829
O 0.527 0.790 0.332
O 0.473 0.210 0.668
O 0.250 0.384 0.480
P 0.250 0.773 0.904
O 0.027 0.210 0.668
O 0.250 0.829 0.060
K 0.250 0.228 0.920
K 0.750 0.305 0.422
O 0.250 0.578 0.896
O 0.750 0.934 0.528
Tm 0.250 0.976 0.260
O 0.524 0.152 0.171
K 0.750 0.502 0.790
O 0.976 0.152 0.171
Tm 0.750 0.024 0.740
O 0.750 0.422 0.104
K 0.750 0.772 0.080
P 0.750 0.781 0.430
O 0.476 0.848 0.829
O 0.750 0.616 0.520
P 0.750 0.227 0.096
O 0.750 0.171 0.940
P 0.250 0.219 0.570
K 0.250 0.695 0.578

## Properties
Calculated density = 3.721 g/cm³
Spin magnetization = 0.086 μB/f.u.
Raw formation energy = -2605 meV/atom
Crystal system = monoclinic



Entry 3:
First-principles (PBE) data for a relaxed Li2AlZn2Cu5 crystal, as listed in Alexandria.

Cell lengths 3.969, 8.318, 8.318 Å; angles 90.00, 90.00, 90.00 degrees
Fractional positions:
Cu 0.500 0.697 0.420
Zn 0.000 0.624 0.876
Cu 0.500 0.000 0.500
Cu 0.500 0.500 0.000
Li 0.000 0.172 0.328
Cu 0.500 0.197 0.080
Cu 0.500 0.803 0.920
Al 0.000 0.000 0.000
Li 0.000 0.828 0.672
Cu 0.500 0.303 0.580
Li 0.000 0.328 0.828
Al 0.000 0.500 0.500
Li 0.000 0.672 0.172
Cu 0.500 0.420 0.303
Cu 0.500 0.920 0.197
Zn 0.000 0.376 0.124
Zn 0.000 0.876 0.376
Cu 0.500 0.080 0.803
Zn 0.000 0.124 0.624
Cu 0.500 0.580 0.697

## Properties
Calculated density = 5.919 g/cm³
Spin magnetization = 0.000 μB/f.u.
ΔE_f = -72 meV/atom
Crystal system = tetragonal



Entry 4:
First-principles (PBE) data for a relaxed LaAuS3 crystal, as listed in Alexandria.

Cell lengths 4.832, 4.832, 4.832 Å; angles 90.00, 90.00, 90.00 degrees
Fractional positions:
S 0.500 0.000 0.000
Au 0.000 0.000 0.000
S 0.000 0.500 0.000
La 0.500 0.500 0.500
S 0.000 0.000 0.500

## Properties
Calculated density = 6.360 g/cm³
Spin magnetization = 0.000 μB/f.u.
Raw formation energy = -704 meV/atom
Crystal system = cubic